Entry 1:
The following is a PBE calculation of an optimized crystal structure of CaBi2, from Alexandria via LeMat-Bulk.

The structure in extended XYZ format:
```
3
Lattice="4.280 0.000 0.000 0.000 4.280 0.000 -2.140 -2.140 5.196" Properties=species:S:1:pos:R:3 pbc="T T T"
Ca 0.000 0.000 0.000
Bi 2.140 2.140 1.590
Bi 0.000 0.000 3.607
```

* energy of formation: -0.394 eV/atom
* magnetic moment: 0.000 μB per formula unit
* V: 95.2 Å³/f.u.

Entry 2:
The following is a PBE calculation of an optimized crystal structure of PmPrAu2, from Alexandria via LeMat-Bulk.

The structure in extended XYZ format:
```
4
Lattice="-3.248 0.017 -1.798 -1.746 -0.918 3.145 -0.865 7.224 1.628" Properties=species:S:1:pos:R:3 pbc="T T T"
Au -0.657 5.493 1.238
Pm -2.497 -0.451 0.674
Au -0.207 1.731 0.390
Pr -2.929 3.161 1.488
```

* energy of formation: -0.768 eV/atom
* polymorph energy (0 for the lowest one): 35 meV per atom
* magnetic moment: 0.000 μB per formula unit
* V: 102.8 Å³/f.u.